Record 1
Na2Pu2O7, relaxed, DFT PBE-GGA; formation energy (no corrections) = -2.33 eV per atom; magnetization = 0.3636 μB/atom; energy above the lowest structure with this stoichiometry = 0.000 eV per atom; DOS at the Fermi energy = 5.64 states/eV/cell; space group = C2/m (12)
1.0
4.252 0.381 -0.047
-0.092 6.236 -3.299
0.609 -0.315 7.022
Pu O Na
2 7 2
Direct
0.801 0.295 0.295
0.199 0.705 0.705
0.276 0.380 0.380
0.782 0.133 0.437
0.218 0.563 0.867
0.218 0.867 0.563
0.782 0.437 0.133
0.724 0.620 0.620
0.000 0.000 0.000
0.500 0.776 0.224
0.500 0.224 0.776

Record 2
NaPu3O6, relaxed, DFT PBE-GGA; formation energy (no corrections) = -2.80 eV per atom; magnetization = 1.3000 μB/atom; DOS at the Fermi energy = 28.94 states/eV/cell; space group = R-3 (148)
1.0
6.661 0.569 -0.763
-0.916 6.622 -0.763
0.455 0.569 6.689
O Pu Na
12 6 2
Direct
0.827 0.604 0.470
0.530 0.173 0.396
0.396 0.530 0.173
0.074 0.898 0.331
0.470 0.827 0.604
0.926 0.102 0.669
0.669 0.926 0.102
0.898 0.331 0.074
0.173 0.396 0.530
0.102 0.669 0.926
0.331 0.074 0.898
0.604 0.470 0.827
0.746 0.924 0.439
0.561 0.254 0.076
0.439 0.746 0.924
0.076 0.561 0.254
0.254 0.076 0.561
0.924 0.439 0.746
0.500 0.500 0.500
0.000 0.000 0.000

Record 3
Na3PuO4, relaxed, DFT PBE-GGA; formation energy (no corrections) = -1.94 eV per atom; magnetization = 0.3750 μB/atom; energy above the lowest structure with this stoichiometry = 0.262 eV per atom; DOS at the Fermi energy = 5.53 states/eV/cell; space group = I-42m (121)
1.0
-5.291 1.870 -1.591
-1.968 -0.969 5.405
4.581 3.073 -0.929
Na Pu O
3 1 4
Direct
0.500 0.500 0.000
0.750 0.250 0.500
0.250 0.750 0.500
0.000 0.000 0.000
0.882 0.882 0.214
0.332 0.332 0.214
0.118 0.668 0.786
0.668 0.118 0.786

Record 4
Na2PuO3, relaxed, DFT PBE-GGA; formation energy (no corrections) = -2.31 eV per atom; magnetization = 0.6667 μB/atom; DOS at the Fermi energy = 5.13 states/eV/cell; space group = Immm (71)
1.0
0.517 2.820 -1.940
-2.289 -1.940 -3.431
-3.576 1.624 4.495
Na Pu O
2 1 3
Direct
0.326 0.826 0.653
0.674 0.174 0.347
0.000 0.500 0.000
0.000 0.000 0.000
0.638 0.638 0.275
0.362 0.362 0.725

Record 5
NaPu2O5, relaxed, DFT PBE-GGA; formation energy (no corrections) = -2.46 eV per atom; magnetization = 0.8750 μB/atom; DOS at the Fermi energy = 14.32 states/eV/cell; space group = I4/mcm (140)
1.0
6.437 0.000 0.000
0.000 6.437 0.000
-3.219 -3.219 5.539
Pu O Na
4 10 2
Direct
0.327 0.827 0.000
0.827 0.673 0.000
0.673 0.173 0.000
0.173 0.327 0.000
0.000 0.000 0.000
0.532 0.734 0.766
0.468 0.266 0.234
0.766 0.968 0.234
0.266 0.766 0.234
0.968 0.468 0.234
0.500 0.500 0.000
0.734 0.234 0.766
0.234 0.032 0.766
0.032 0.532 0.766
0.750 0.750 0.500
0.250 0.250 0.500

Record 6
NaPu2O6, relaxed, DFT PBE-GGA; formation energy (no corrections) = -2.49 eV per atom; magnetization = 0.5556 μB/atom; energy above the lowest structure with this stoichiometry = 0.000 eV per atom; DOS at the Fermi energy = 21.75 states/eV/cell; space group = P321 (150)
1.0
-2.644 4.168 0.249
-6.878 -4.049 -5.234
-0.208 -0.700 9.517
Pu O Na
6 18 3
Direct
0.000 0.346 0.000
0.500 0.678 0.000
0.500 0.000 0.678
0.000 0.000 0.346
0.000 0.654 0.654
0.500 0.322 0.322
0.713 0.193 0.771
0.221 0.107 0.250
0.759 0.548 0.459
0.779 0.250 0.107
0.713 0.578 0.807
0.287 0.771 0.193
0.241 0.459 0.548
0.779 0.857 0.750
0.221 0.143 0.893
0.713 0.229 0.422
0.759 0.911 0.452
0.221 0.750 0.857
0.241 0.089 0.541
0.759 0.541 0.089
0.287 0.422 0.229
0.241 0.452 0.911
0.287 0.807 0.578
0.779 0.893 0.143
0.466 0.333 0.667
0.534 0.667 0.333
0.000 0.000 0.000

Record 7
NaPuO2, relaxed, DFT PBE-GGA; formation energy (no corrections) = -1.99 eV per atom; magnetization = 1.2503 μB/atom; DOS at the Fermi energy = 6.29 states/eV/cell; space group = P4/mmm (123)
1.0
-1.894 0.268 2.287
-1.073 -2.723 -0.570
4.191 -2.438 3.757
Pu O Na
1 2 1
Direct
0.500 0.500 0.000
0.000 0.000 0.218
0.000 0.000 0.782
0.500 0.500 0.500

Record 8
Na5PuO6, relaxed, DFT PBE-GGA; formation energy (no corrections) = -2.02 eV per atom; magnetization = 0.0833 μB/atom; space group = C2/m (12)
1.0
-1.934 -1.645 -5.210
6.034 2.532 1.108
-0.251 -5.080 2.847
Na O Pu
5 6 1
Direct
0.327 0.827 0.654
0.667 0.667 0.334
0.333 0.333 0.666
0.000 0.500 0.000
0.673 0.173 0.346
0.863 0.640 0.713
0.418 0.210 0.000
0.582 0.790 0.000
0.150 0.927 0.287
0.850 0.073 0.713
0.137 0.360 0.287
0.000 0.000 0.000

Record 9
Na5Pu2O12, relaxed, DFT PBE-GGA; formation energy (no corrections) = -1.77 eV per atom; magnetization = 0.1578 μB/atom; DOS at the Fermi energy = 6.42 states/eV/cell; space group = P-1 (2)
1.0
-4.772 1.673 -3.097
-3.241 -7.803 -3.691
-4.570 1.194 4.851
Na O Pu
5 12 2
Direct
0.380 0.359 0.898
0.500 0.000 0.000
0.994 0.167 0.430
0.620 0.641 0.102
0.006 0.833 0.570
0.155 0.227 0.109
0.300 0.625 0.941
0.137 0.242 0.717
0.807 0.065 0.159
0.193 0.935 0.841
0.766 0.111 0.755
0.700 0.375 0.059
0.900 0.489 0.521
0.100 0.511 0.479
0.234 0.889 0.245
0.845 0.773 0.891
0.863 0.758 0.283
0.954 0.175 0.937
0.046 0.825 0.063

Record 10
NaPu3O7, relaxed, DFT PBE-GGA; formation energy (no corrections) = -2.61 eV per atom; magnetization = 1.0000 μB/atom; DOS at the Fermi energy = 12.16 states/eV/cell; space group = Cmmm (65)
1.0
4.140 0.000 0.000
0.000 6.188 -3.921
0.000 -0.440 7.312
O Na Pu
7 1 3
Direct
0.500 0.279 0.721
0.000 0.909 0.645
0.500 0.000 0.000
0.000 0.091 0.355
0.000 0.355 0.091
0.000 0.645 0.909
0.500 0.721 0.279
0.000 0.500 0.500
0.000 0.265 0.735
0.000 0.735 0.265
0.000 0.000 0.000

Record 11
NaPu4O12, relaxed, DFT PBE-GGA; formation energy (no corrections) = -2.50 eV per atom; magnetization = 0.5294 μB/atom; DOS at the Fermi energy = 12.75 states/eV/cell; space group = Immm (71)
1.0
6.680 -0.022 -2.419
-3.325 5.820 -2.358
-0.010 0.022 7.105
Pu O Na
4 12 1
Direct
0.000 0.000 0.500
0.000 0.500 0.000
0.500 0.000 0.000
0.500 0.500 0.500
0.789 0.263 0.052
0.531 0.245 0.286
0.721 0.942 0.221
0.279 0.501 0.221
0.959 0.245 0.714
0.789 0.737 0.526
0.469 0.755 0.714
0.211 0.263 0.474
0.721 0.499 0.779
0.041 0.755 0.286
0.211 0.737 0.948
0.279 0.058 0.779
0.000 0.500 0.500

Record 12
Na4PuO6, relaxed, DFT PBE-GGA; formation energy (no corrections) = -1.88 eV per atom; magnetization = 0.0000 μB/atom; DOS at the Fermi energy = 0.47 states/eV/cell; space group = R-3c (167)
1.0
-5.585 3.966 -0.430
-2.282 -3.842 -5.209
-3.293 -4.096 4.415
O Pu Na
12 2 8
Direct
0.052 0.281 0.039
0.219 0.448 0.461
0.539 0.219 0.552
0.781 0.552 0.539
0.461 0.781 0.448
0.948 0.719 0.961
0.961 0.052 0.719
0.281 0.961 0.948
0.719 0.039 0.052
0.552 0.461 0.219
0.039 0.948 0.281
0.448 0.539 0.781
0.000 0.000 0.000
0.500 0.500 0.500
0.921 0.250 0.421
0.750 0.421 0.921
0.250 0.250 0.750
0.421 0.079 0.250
0.579 0.921 0.750
0.750 0.750 0.250
0.079 0.750 0.579
0.250 0.579 0.079

Record 13
Na3Pu4O9, relaxed, DFT PBE-GGA; formation energy (no corrections) = -2.55 eV per atom; magnetization = 0.0869 μB/atom; DOS at the Fermi energy = 19.51 states/eV/cell; space group = R3 (146)
1.0
5.546 0.000 1.957
2.427 4.986 1.957
-0.077 -0.048 9.054
O Na Pu
9 3 4
Direct
0.945 0.389 0.080
0.417 0.023 0.749
0.889 0.248 0.418
0.248 0.445 0.418
0.023 0.811 0.749
0.445 0.889 0.418
0.389 0.586 0.080
0.586 0.945 0.080
0.811 0.417 0.749
0.832 0.832 0.504
0.002 0.002 0.994
0.417 0.417 0.748
0.265 0.265 0.206
0.702 0.702 0.894
0.569 0.569 0.292
0.132 0.132 0.603

Record 14
Na5PuO8, relaxed, DFT PBE-GGA; formation energy (no corrections) = -1.62 eV per atom; magnetization = 0.0714 μB/atom; DOS at the Fermi energy = 0.32 states/eV/cell; space group = I-4 (82)
1.0
5.833 0.486 -2.093
-2.752 5.166 -2.093
-0.265 -0.486 6.191
O Pu Na
8 1 5
Direct
0.581 0.944 0.436
0.164 0.012 0.707
0.508 0.145 0.564
0.544 0.836 0.849
0.056 0.492 0.637
0.988 0.695 0.151
0.305 0.456 0.293
0.855 0.419 0.363
0.250 0.750 0.500
0.742 0.610 0.672
0.500 0.500 0.000
0.390 0.062 0.132
0.930 0.258 0.868
0.938 0.070 0.328

Record 15
Na3PuO4, relaxed, DFT PBE-GGA; formation energy (no corrections) = -2.20 eV per atom; magnetization = 0.3750 μB/atom; energy above the lowest structure with this stoichiometry = 0.000 eV per atom; DOS at the Fermi energy = 4.47 states/eV/cell; space group = Cmmm (65)
1.0
-0.644 1.561 -2.989
2.169 -4.580 -2.859
-5.705 -0.811 0.805
Na O Pu
3 4 1
Direct
0.500 0.500 0.500
0.000 0.500 0.000
0.000 0.000 0.500
0.000 0.779 0.779
0.500 0.790 0.210
0.000 0.221 0.221
0.500 0.210 0.790
0.500 0.000 0.000

Record 16
Na3Pu2O9, relaxed, DFT PBE-GGA; formation energy (no corrections) = -2.03 eV per atom; magnetization = 0.0744 μB/atom; DOS at the Fermi energy = 3.60 states/eV/cell; space group = P-1 (2)
1.0
-1.105 -6.436 -2.741
2.636 -5.881 7.531
-5.589 0.276 4.069
O Na Pu
18 6 4
Direct
0.855 0.478 0.632
0.522 0.583 0.338
0.925 0.266 0.097
0.882 0.005 0.695
0.625 0.281 0.390
0.375 0.719 0.610
0.075 0.734 0.903
0.241 0.220 0.423
0.445 0.058 0.198
0.759 0.780 0.577
0.118 0.995 0.305
0.842 0.848 0.121
0.478 0.417 0.662
0.287 0.376 0.098
0.145 0.522 0.368
0.555 0.942 0.802
0.713 0.624 0.902
0.158 0.152 0.879
0.193 0.768 0.250
0.778 0.009 0.341
0.807 0.232 0.750
0.222 0.991 0.659
0.831 0.469 0.238
0.169 0.531 0.762
0.190 0.165 0.153
0.810 0.835 0.847
0.618 0.603 0.624
0.382 0.397 0.376

Record 17
Na2Pu2O5, relaxed, DFT PBE-GGA; formation energy (no corrections) = -2.44 eV per atom; magnetization = 0.8889 μB/atom; DOS at the Fermi energy = 18.63 states/eV/cell; space group = Cmce (64)
1.0
-3.741 -0.646 5.287
0.740 -6.555 -0.277
4.348 3.667 3.524
O Na Pu
10 4 4
Direct
0.137 0.223 0.765
0.363 0.723 0.765
0.863 0.542 0.765
0.137 0.458 0.235
0.500 0.500 0.000
0.637 0.042 0.765
0.637 0.277 0.235
0.863 0.777 0.235
0.363 0.958 0.235
0.000 0.000 0.000
0.500 0.283 0.567
0.000 0.217 0.433
0.000 0.783 0.567
0.500 0.717 0.433
0.654 0.806 0.000
0.346 0.194 0.000
0.154 0.694 0.000
0.846 0.306 0.000

Record 18
Na5PuO5, relaxed, DFT PBE-GGA; formation energy (no corrections) = -1.95 eV per atom; magnetization = 0.2727 μB/atom; DOS at the Fermi energy = 6.99 states/eV/cell; space group = C2/m (12)
1.0
4.612 0.000 0.000
-2.306 5.519 -0.020
0.000 -2.091 6.272
Na Pu O
5 1 5
Direct
0.321 0.641 0.142
0.302 0.603 0.672
0.000 0.000 0.500
0.698 0.397 0.328
0.679 0.359 0.858
0.000 0.000 0.000
0.863 0.726 0.161
0.851 0.702 0.698
0.149 0.298 0.302
0.137 0.274 0.839
0.500 0.000 0.000